[1]
Material: Dy4UN5
Method: DFT, GGA-PBE
State: optimized geometry

Computed properties:
Formation energy without anion corrections   -1.66 eV/atom

a = 5.9842 Å, b = 5.9842 Å, c = 5.9842 Å
α = 99.67°, β = 99.67°, γ = 131.62°
Atoms (fractional coordinates):
Dy (0.0993, 0.3011, 0.4004)
Dy (0.3011, 0.9007, 0.2018)
Dy (0.6989, 0.0993, 0.7982)
Dy (0.9007, 0.6989, 0.5996)
U (0.5000, 0.5000, 0.0000)
N (0.0000, 0.0000, 0.0000)
N (0.2172, 0.5926, 0.8098)
N (0.4074, 0.2172, 0.6246)
N (0.5926, 0.7828, 0.3754)
N (0.7828, 0.4074, 0.1902)

***

[2]
Material: LiTbPuGa
Method: DFT, GGA-PBE
State: optimized geometry

Computed properties:
DFT total energy   -6.080 eV per atom

a = 5.1012 Å, b = 5.1012 Å, c = 5.1012 Å
α = 60.00°, β = 60.00°, γ = 60.00°
Atoms (fractional coordinates):
Li (0.0000, 0.0000, 0.0000)
Tb (0.7500, 0.7500, 0.7500)
Pu (0.2500, 0.2500, 0.2500)
Ga (0.5000, 0.5000, 0.5000)

***

[3]
Material: Pm3SbBr7
Method: DFT, GGA-PBE
State: optimized geometry

Computed properties:
Formation energy without anion corrections   -1.56 eV/atom

a = 8.8503 Å, b = 8.8503 Å, c = 6.7544 Å
α = 90.00°, β = 90.00°, γ = 120.00°
Atoms (fractional coordinates):
Pm (0.0030, 0.5015, 0.0000)
Pm (0.4985, 0.5015, 0.0000)
Pm (0.4985, 0.9970, 0.0000)
Sb (0.3333, 0.6667, 0.2629)
Br (0.1819, 0.3638, 0.7616)
Br (0.1819, 0.8181, 0.7616)
Br (0.3537, 0.1768, 0.2171)
Br (0.6362, 0.8181, 0.7616)
Br (0.6667, 0.3333, 0.7535)
Br (0.8232, 0.1768, 0.2171)
Br (0.8232, 0.6463, 0.2171)

***

[4]
Material: Er2ThCu
Method: DFT, GGA-PBE
State: optimized geometry

Computed properties:
Energy above the most stable polymorph in this dataset   0.00 kcal/mol of atoms

a = 3.5037 Å, b = 3.5037 Å, c = 8.3637 Å
α = 90.00°, β = 90.00°, γ = 90.00°
Atoms (fractional coordinates):
Er (0.0000, 0.0000, 0.2007)
Er (0.0000, 0.0000, 0.7993)
Th (0.5000, 0.5000, 0.5000)
Cu (0.5000, 0.5000, 0.0000)

***

[5]
Material: ZnSbOs2
Method: DFT, GGA-PBE
State: optimized geometry

Computed properties:
Energy above the most stable polymorph in this dataset   8.53 kcal/mol of atoms
Formation energy without anion corrections   0.71 eV/atom

a = 9.3347 Å, b = 9.3347 Å, c = 9.3347 Å
α = 154.83°, β = 154.83°, γ = 35.89°
Atoms (fractional coordinates):
Zn (0.0000, 0.0000, 0.0000)
Zn (0.7500, 0.2500, 0.5000)
Sb (0.2500, 0.7500, 0.5000)
Sb (0.5000, 0.5000, 0.0000)
Os (0.0539, 0.6250, 0.9289)
Os (0.3750, 0.3039, 0.4289)
Os (0.6961, 0.1250, 0.0711)
Os (0.8750, 0.9461, 0.5711)

***

[6]
Material: Al4TlAu
Method: DFT, GGA-PBE
State: optimized geometry

Computed properties:
DFT total energy   -3.231 eV per atom

a = 5.5299 Å, b = 5.5299 Å, c = 5.5299 Å
α = 60.00°, β = 60.00°, γ = 60.00°
Atoms (fractional coordinates):
Al (0.1247, 0.1247, 0.1247)
Al (0.1247, 0.1247, 0.6260)
Al (0.1247, 0.6260, 0.1247)
Al (0.6260, 0.1247, 0.1247)
Tl (0.5000, 0.5000, 0.5000)
Au (0.7500, 0.7500, 0.7500)

***

[7]
Material: CsTcPRu2
Method: DFT, GGA-PBE
State: optimized geometry

Computed properties:
DFT total energy   -5.134 eV per atom

a = 4.6950 Å, b = 4.6950 Å, c = 5.6097 Å
α = 90.00°, β = 90.00°, γ = 90.00°
Atoms (fractional coordinates):
Cs (0.0000, 0.0000, 0.0000)
Tc (0.0000, 0.0000, 0.5000)
P (0.5000, 0.5000, 0.0000)
Ru (0.0000, 0.5000, 0.5000)
Ru (0.5000, 0.0000, 0.5000)

***

[8]
Material: KZrOs
Method: DFT, GGA-PBE
State: optimized geometry

Computed properties:
Energy above the most stable polymorph in this dataset   14.00 kcal/mol of atoms

a = 5.0456 Å, b = 5.0456 Å, c = 2.7903 Å
α = 90.00°, β = 90.00°, γ = 120.00°
Atoms (fractional coordinates):
K (0.0000, 0.0000, 0.0000)
Zr (0.6667, 0.3333, 0.6928)
Os (0.3333, 0.6667, 0.3921)

***

[9]
Material: KLi2I
Method: DFT, GGA-PBE
State: optimized geometry

Computed properties:
Energy above the most stable polymorph in this dataset   0.00 kcal/mol of atoms
Formation energy without anion corrections   -0.35 eV/atom

a = 7.5144 Å, b = 7.5144 Å, c = 7.5144 Å
α = 102.96°, β = 102.96°, γ = 123.47°
Atoms (fractional coordinates):
K (0.0000, 0.0000, 0.0000)
K (0.7500, 0.2500, 0.5000)
Li (0.2152, 0.6250, 0.0902)
Li (0.3750, 0.4652, 0.5902)
Li (0.5348, 0.1250, 0.9098)
Li (0.8750, 0.7848, 0.4098)
I (0.2500, 0.7500, 0.5000)
I (0.5000, 0.5000, 0.0000)

***

[10]
Material: LaP2Se
Method: DFT, GGA-PBE
State: optimized geometry

Computed properties:
Formation energy without anion corrections   -0.45 eV/atom

a = 3.9213 Å, b = 3.9424 Å, c = 5.6206 Å
α = 90.00°, β = 90.00°, γ = 90.00°
Atoms (fractional coordinates):
La (0.0000, 0.0000, 0.0000)
P (0.5000, 0.5000, 0.2983)
P (0.5000, 0.5000, 0.7017)
Se (0.0000, 0.0000, 0.5000)

***

[11]
Material: Ce2SiSe
Method: DFT, GGA-PBE
State: optimized geometry

Computed properties:
Energy above the most stable polymorph in this dataset   0.43 kcal/mol of atoms
Formation energy without anion corrections   -1.20 eV/atom

a = 11.6302 Å, b = 11.6302 Å, c = 4.0238 Å
α = 90.00°, β = 90.00°, γ = 158.44°
Atoms (fractional coordinates):
Ce (0.0638, 0.9362, 0.7500)
Ce (0.3210, 0.6790, 0.7500)
Ce (0.6790, 0.3210, 0.2500)
Ce (0.9362, 0.0638, 0.2500)
Si (0.4637, 0.5363, 0.7500)
Si (0.5363, 0.4637, 0.2500)
Se (0.1911, 0.8089, 0.7500)
Se (0.8089, 0.1911, 0.2500)

***

[12]
Material: TbEr4Pb2
Method: DFT, GGA-PBE
State: optimized geometry

Computed properties:
DFT total energy   -3.829 eV per atom

a = 9.0517 Å, b = 9.0517 Å, c = 9.0517 Å
α = 145.56°, β = 145.56°, γ = 49.50°
Atoms (fractional coordinates):
Tb (0.0000, 0.0000, 0.0000)
Er (0.0000, 0.5000, 0.5000)
Er (0.1831, 0.1831, 0.0000)
Er (0.5000, 0.0000, 0.5000)
Er (0.8169, 0.8169, 0.0000)
Pb (0.3699, 0.3699, 0.0000)
Pb (0.6301, 0.6301, 0.0000)

***

[13]
Material: Rb3Ce3RhSe8
Method: DFT, GGA-PBE
State: optimized geometry

Computed properties:
Formation energy without anion corrections   -1.37 eV/atom

a = 9.4947 Å, b = 9.4947 Å, c = 9.4947 Å
α = 52.42°, β = 52.42°, γ = 52.42°
Atoms (fractional coordinates):
Rb (0.0000, 0.5000, 0.5000)
Rb (0.5000, 0.0000, 0.5000)
Rb (0.5000, 0.5000, 0.0000)
Ce (0.0000, 0.0000, 0.5000)
Ce (0.0000, 0.5000, 0.0000)
Ce (0.5000, 0.0000, 0.0000)
Rh (0.5000, 0.5000, 0.5000)
Se (0.2339, 0.2339, 0.2339)
Se (0.2598, 0.7102, 0.7102)
Se (0.2898, 0.2898, 0.7402)
Se (0.2898, 0.7402, 0.2898)
Se (0.7102, 0.2598, 0.7102)
Se (0.7102, 0.7102, 0.2598)
Se (0.7402, 0.2898, 0.2898)
Se (0.7661, 0.7661, 0.7661)

***

[14]
Material: ThH2Pb
Method: DFT, GGA-PBE
State: optimized geometry

Computed properties:
Energy above the most stable polymorph in this dataset   0.00 kcal/mol of atoms

a = 3.7328 Å, b = 6.4201 Å, c = 5.9594 Å
α = 90.00°, β = 90.00°, γ = 90.00°
Atoms (fractional coordinates):
Th (0.2500, 0.2500, 0.0981)
Th (0.7500, 0.7500, 0.9019)
H (0.2500, 0.5513, 0.9074)
H (0.2500, 0.9487, 0.9074)
H (0.7500, 0.0513, 0.0926)
H (0.7500, 0.4487, 0.0926)
Pb (0.2500, 0.7500, 0.4203)
Pb (0.7500, 0.2500, 0.5797)

***

[15]
Material: Sm2Si3Ir
Method: DFT, GGA-PBE
State: optimized geometry

Computed properties:
Formation energy without anion corrections   -0.90 eV/atom

a = 8.2371 Å, b = 8.2096 Å, c = 5.8575 Å
α = 69.39°, β = 68.88°, γ = 41.73°
Atoms (fractional coordinates):
Sm (0.2485, 0.7515, 0.2485)
Sm (0.2500, 0.2500, 0.2500)
Sm (0.7500, 0.7500, 0.7500)
Sm (0.7515, 0.2485, 0.7515)
Si (0.1662, 0.6661, 0.8338)
Si (0.3329, 0.3329, 0.6671)
Si (0.3339, 0.8338, 0.6661)
Si (0.6661, 0.1662, 0.3339)
Si (0.6671, 0.6671, 0.3329)
Si (0.8338, 0.3339, 0.1662)
Ir (0.1663, 0.1663, 0.8337)
Ir (0.8337, 0.8337, 0.1663)

***

[16]
Material: CrCo4Ni2
Method: DFT, GGA-PBE
State: optimized geometry

Computed properties:
DFT total energy   -6.864 eV per atom

a = 4.2115 Å, b = 8.4313 Å, c = 9.0995 Å
α = 90.00°, β = 90.00°, γ = 90.00°
Atoms (fractional coordinates):
Cr (0.0000, 0.0000, 0.0000)
Cr (0.0000, 0.5000, 0.5000)
Cr (0.5000, 0.0000, 0.5000)
Cr (0.5000, 0.5000, 0.0000)
Co (0.1573, 0.2157, 0.4414)
Co (0.1573, 0.2843, 0.9414)
Co (0.1769, 0.1822, 0.1875)
Co (0.1769, 0.3178, 0.6875)
Co (0.3231, 0.6822, 0.1875)
Co (0.3231, 0.8178, 0.6875)
Co (0.3427, 0.7157, 0.4414)
Co (0.3427, 0.7843, 0.9414)
Co (0.6573, 0.2157, 0.0586)
Co (0.6573, 0.2843, 0.5586)
Co (0.6769, 0.1822, 0.3125)
Co (0.6769, 0.3178, 0.8125)
Co (0.8231, 0.6822, 0.3125)
Co (0.8231, 0.8178, 0.8125)
Co (0.8427, 0.7157, 0.0586)
Co (0.8427, 0.7843, 0.5586)
Ni (0.0271, 0.5531, 0.8319)
Ni (0.0271, 0.9469, 0.3319)
Ni (0.4729, 0.0531, 0.8319)
Ni (0.4729, 0.4469, 0.3319)
Ni (0.5271, 0.5531, 0.6681)
Ni (0.5271, 0.9469, 0.1681)
Ni (0.9729, 0.0531, 0.6681)
Ni (0.9729, 0.4469, 0.1681)

***

[17]
Material: BaCd3Hg4
Method: DFT, GGA-PBE
State: optimized geometry

Computed properties:
DFT total energy   -0.923 eV per atom

a = 5.2005 Å, b = 5.2005 Å, c = 8.5895 Å
α = 90.00°, β = 90.00°, γ = 90.00°
Atoms (fractional coordinates):
Ba (0.0000, 0.0000, 0.0000)
Cd (0.0000, 0.0000, 0.5000)
Cd (0.5000, 0.5000, 0.1635)
Cd (0.5000, 0.5000, 0.8365)
Hg (0.0000, 0.5000, 0.3191)
Hg (0.0000, 0.5000, 0.6809)
Hg (0.5000, 0.0000, 0.3191)
Hg (0.5000, 0.0000, 0.6809)

***

[18]
Material: LiNpAg2Br8
Method: DFT, GGA-PBE
State: optimized geometry

Computed properties:
Formation energy without anion corrections   -0.76 eV/atom

a = 7.9765 Å, b = 7.9765 Å, c = 7.9765 Å
α = 110.25°, β = 110.25°, γ = 107.93°
Atoms (fractional coordinates):
Li (0.0000, 0.0000, 0.0000)
Np (0.7500, 0.2500, 0.5000)
Ag (0.2500, 0.7500, 0.5000)
Ag (0.5000, 0.5000, 0.0000)
Br (0.0274, 0.3404, 0.3130)
Br (0.0274, 0.7145, 0.6870)
Br (0.1002, 0.3024, 0.7978)
Br (0.2855, 0.9726, 0.3130)
Br (0.5045, 0.3024, 0.2022)
Br (0.6596, 0.9726, 0.6870)
Br (0.6976, 0.4955, 0.7978)
Br (0.6976, 0.8998, 0.2022)

***

[19]
Material: Na2ZnH6Os
Method: DFT, GGA-PBE
State: optimized geometry

Computed properties:
DFT total energy   -3.588 eV per atom

a = 5.0706 Å, b = 5.0706 Å, c = 5.0706 Å
α = 60.00°, β = 60.00°, γ = 60.00°
Atoms (fractional coordinates):
Na (0.2500, 0.2500, 0.2500)
Na (0.7500, 0.7500, 0.7500)
Zn (0.0000, 0.0000, 0.0000)
H (0.2572, 0.2572, 0.7428)
H (0.2572, 0.7428, 0.2572)
H (0.2572, 0.7428, 0.7428)
H (0.7428, 0.2572, 0.2572)
H (0.7428, 0.2572, 0.7428)
H (0.7428, 0.7428, 0.2572)
Os (0.5000, 0.5000, 0.5000)

***

[20]
Material: Sm5Zn
Method: DFT, GGA-PBE
State: optimized geometry

Computed properties:
Energy above the most stable polymorph in this dataset   1.95 kcal/mol of atoms

a = 7.9714 Å, b = 7.9714 Å, c = 4.9275 Å
α = 90.00°, β = 90.00°, γ = 144.59°
Atoms (fractional coordinates):
Sm (0.0000, 0.0000, 0.0000)
Sm (0.1598, 0.8402, 0.5000)
Sm (0.3343, 0.6657, 0.0000)
Sm (0.6657, 0.3343, 0.0000)
Sm (0.8402, 0.1598, 0.5000)
Zn (0.5000, 0.5000, 0.5000)

***

[21]
Material: HoTm2OsO8
Method: DFT, GGA-PBE
State: optimized geometry

Computed properties:
Formation energy without anion corrections   -2.58 eV/atom

a = 4.9841 Å, b = 4.9841 Å, c = 6.6949 Å
α = 90.00°, β = 90.00°, γ = 90.41°
Atoms (fractional coordinates):
Ho (0.0000, 0.0000, 0.0000)
Tm (0.5000, 0.5000, 0.2458)
Tm (0.5000, 0.5000, 0.7542)
Os (0.0000, 0.0000, 0.5000)
O (0.1854, 0.8146, 0.2890)
O (0.1854, 0.8146, 0.7110)
O (0.2682, 0.2682, 0.5000)
O (0.3087, 0.3087, 0.0000)
O (0.6913, 0.6913, 0.0000)
O (0.7318, 0.7318, 0.5000)
O (0.8146, 0.1854, 0.2890)
O (0.8146, 0.1854, 0.7110)

***

[22]
Material: ZrMnTeIr2
Method: DFT, GGA-PBE
State: optimized geometry

Computed properties:
Formation energy without anion corrections   1.30 eV/atom

a = 4.9006 Å, b = 4.9006 Å, c = 4.8912 Å
α = 90.00°, β = 90.00°, γ = 90.00°
Atoms (fractional coordinates):
Zr (0.0000, 0.0000, 0.0000)
Mn (0.0000, 0.0000, 0.5000)
Te (0.5000, 0.5000, 0.5000)
Ir (0.0000, 0.5000, 0.0000)
Ir (0.5000, 0.0000, 0.0000)

***

[23]
Material: PdRh2N2
Method: DFT, GGA-PBE
State: optimized geometry

Computed properties:
Energy above the most stable polymorph in this dataset   10.11 kcal/mol of atoms
Formation energy without anion corrections   1.17 eV/atom

a = 6.6969 Å, b = 6.6969 Å, c = 2.6934 Å
α = 90.00°, β = 90.00°, γ = 90.00°
Atoms (fractional coordinates):
Pd (0.0000, 0.0000, 0.0000)
Pd (0.5000, 0.5000, 0.0000)
Rh (0.1355, 0.3645, 0.0000)
Rh (0.3645, 0.8645, 0.0000)
Rh (0.6355, 0.1355, 0.0000)
Rh (0.8645, 0.6355, 0.0000)
N (0.1255, 0.6255, 0.5000)
N (0.3745, 0.1255, 0.5000)
N (0.6255, 0.8745, 0.5000)
N (0.8745, 0.3745, 0.5000)

***

Number 1: V 146 Å³/f.u.. Number 2: V 94 Å³/f.u.. Number 3: V 458 Å³/f.u.. Number 4: V 103 Å³/f.u.. Number 5: V 73 Å³/f.u.. Number 6: V 120 Å³/f.u.. Number 7: V 124 Å³/f.u.. Number 8: V 62 Å³/f.u.. Number 9: V 156 Å³/f.u.. Number 10: V 87 Å³/f.u.. Number 11: V 100 Å³/f.u.. Number 12: V 236 Å³/f.u.. Number 13: V 497 Å³/f.u.. Number 14: V 71 Å³/f.u.. Number 15: V 122 Å³/f.u.. Number 16: V 81 Å³/f.u.. Number 17: V 232 Å³/f.u.. Number 18: V 390 Å³/f.u.. Number 19: V 92 Å³/f.u.. Number 20: V 181 Å³/f.u.. Number 21: V 166 Å³/f.u.. Number 22: V 117 Å³/f.u.. Number 23: V 60 Å³/f.u..